1.
Computed, not measured: a relaxed PPtS2N crystal at the GGA-PBE level of DFT.

## Properties
- Relative energy among the computed polymorphs: 1.239 eV per atom
- Formation energy (no corrections): 1.919 eV per atom

Geometry as CIF:
```
data_PPtS2N
_cell_length_a 4.689
_cell_length_b 4.689
_cell_length_c 4.622
_cell_angle_alpha 90.00
_cell_angle_beta 90.00
_cell_angle_gamma 90.00
_symmetry_space_group_name_H-M 'P 4/m m m'
_symmetry_Int_Tables_number 123
_symmetry_space_group_name_Hall '-P 4 2'
loop_
_atom_site_label
_atom_site_type_symbol
_atom_site_fract_x
_atom_site_fract_y
_atom_site_fract_z
P1 P 0.000 0.000 0.000
Pt1 Pt 0.000 0.000 0.500
S1 S 0.000 0.500 0.500
N1 N 0.500 0.500 0.000
```



2.
Computed, not measured: a relaxed PPtS2N crystal at the GGA-PBE level of DFT.

## Properties
- Relative energy among the computed polymorphs: 0.000 eV per atom
- Formation energy (no corrections): 0.680 eV per atom

Geometry as CIF:
```
data_PPtS2N
_cell_length_a 4.666
_cell_length_b 4.666
_cell_length_c 3.163
_cell_angle_alpha 90.00
_cell_angle_beta 90.00
_cell_angle_gamma 90.00
_symmetry_space_group_name_H-M 'P 4/m m m'
_symmetry_Int_Tables_number 123
_symmetry_space_group_name_Hall '-P 4 2'
loop_
_atom_site_label
_atom_site_type_symbol
_atom_site_fract_x
_atom_site_fract_y
_atom_site_fract_z
P1 P 0.000 0.000 0.000
Pt1 Pt 0.500 0.500 0.500
S1 S 0.000 0.500 0.000
N1 N 0.000 0.000 0.500
```